DFT (GGA-PBE) results for a geometry-optimized Y12Ni5Bi structure.

## Properties
E_form (meV per atom): -370
E_tot (Ry per atom): -0.47780

abc: 8.4085 8.4085 8.4085
angles: 107.19 111.71 109.55
Last column: nearest neighbours and their distance in Å.
Atoms (fractional coordinates):
Y  0.5254  0.8201  0.7053  2 Ni 2.88
Y  0.4746  0.1799  0.2947  2 Ni 2.88
Y  0.8852  0.1799  0.7053  2 Ni 2.88
Y  0.1148  0.8201  0.2947  2 Ni 2.88
Y  0.6928  0.6796  0.3724  3 Ni 2.68-2.86
Y  0.3072  0.3204  0.6276  3 Ni 2.68-2.86
Y  0.3072  0.6796  0.9868  3 Ni 2.68-2.86
Y  0.6928  0.3204  0.0132  3 Ni 2.68-2.86
Y  0.8067  0.6002  0.7935  2 Ni 2.67-2.79
Y  0.1933  0.3998  0.2065  2 Ni 2.67-2.79
Y  0.1933  0.9867  0.7935  2 Ni 2.67-2.79
Y  0.8067  0.0133  0.2065  2 Ni 2.67-2.79
Ni  0.6321  0.6321  0.0000  1 Ni 2.56, 6 Y 2.67-2.86
Ni  0.3679  0.3679  0.0000  1 Ni 2.56, 6 Y 2.67-2.86
Ni  0.5000  0.1230  0.6230  1 Ni 2.45, 2 Y 2.68
Ni  0.5000  0.8770  0.3770  1 Ni 2.45, 2 Y 2.68
Ni  0.0000  0.0000  0.0000  4 Y 2.79
Bi  0.0000  0.5000  0.5000  12 Y 3.41-3.66